The following is a DFT calculation (PBE) of a relaxed LiGeSe2 crystal.

```
data_LiGeSe2
_chemical_formula_sum 'Li2 Ge2 Se4'
_cell_length_a 4.771
_cell_length_b 8.099
_cell_length_c 5.090
_cell_angle_alpha 90.00
_cell_angle_beta 90.00
_cell_angle_gamma 90.00
_symmetry_space_group_name_H-M 'P m n 21'
_symmetry_Int_Tables_number 31
loop_
_symmetry_equiv_pos_as_xyz
'x,y,z'
'-x+1/2,-y,z+1/2'
'-x,y,z'
'x+1/2,-y,z+1/2'
loop_
_atom_site_label
_atom_site_fract_x
_atom_site_fract_y
_atom_site_fract_z
Li1 0.000 0.119 0.000
Ge1 0.000 0.630 0.034
Se1 0.000 0.379 0.339
Se2 0.000 0.866 0.309
```

Calculated values
ΔE_f (raw): -602 meV/atom
Final energy: -3.98 eV per atom
Density: 4.01 Mg/m³
Total magnetic moment: 0.00 μB per atom